(1)
# AlTe2F, relaxed, DFT PBE
data_AlTe2F
_chemical_formula_sum 'Al1 Te2 F1'
_cell_length_a 4.824
_cell_length_b 4.824
_cell_length_c 4.824
_cell_angle_alpha 60.00
_cell_angle_beta 60.00
_cell_angle_gamma 60.00
_symmetry_space_group_name_H-M 'P 1'
_symmetry_Int_Tables_number 1
_symmetry_space_group_name_Hall 'P 1'
loop_
_atom_site_label
_atom_site_type_symbol
_atom_site_fract_x
_atom_site_fract_y
_atom_site_fract_z
F1 F 0.000 0.000 0.000
Te1 Te 0.750 0.750 0.750
Al1 Al 0.500 0.500 0.500
Te2 Te 0.250 0.250 0.250
# formation energy (no corrections): -0.465 eV per atom
# symmetry: Fm-3m
# calculated total energy: -0.1264 hartree per atom


(2)
# MgReTc4, relaxed, DFT PBE
data_MgReTc4
_chemical_formula_sum 'Mg1 Re1 Tc4'
_cell_length_a 5.106
_cell_length_b 5.106
_cell_length_c 5.106
_cell_angle_alpha 60.00
_cell_angle_beta 60.00
_cell_angle_gamma 60.00
_symmetry_space_group_name_H-M 'P 1'
_symmetry_Int_Tables_number 1
_symmetry_space_group_name_Hall 'P 1'
loop_
_atom_site_label
_atom_site_type_symbol
_atom_site_fract_x
_atom_site_fract_y
_atom_site_fract_z
Re1 Re 0.000 0.000 0.000
Mg1 Mg 0.750 0.750 0.750
Tc1 Tc 0.376 0.376 0.376
Tc2 Tc 0.873 0.376 0.376
Tc3 Tc 0.376 0.873 0.376
Tc4 Tc 0.376 0.376 0.873
# calculated formation energy: 1.62 eV/f.u.
# symmetry: F-43m
# calculated total energy: -0.3300 hartree per atom


(3)
# NaAcTmCd, relaxed, DFT PBE
data_NaAcTmCd
_chemical_formula_sum 'Na1 Ac1 Tm1 Cd1'
_cell_length_a 5.627
_cell_length_b 5.627
_cell_length_c 5.627
_cell_angle_alpha 60.00
_cell_angle_beta 60.00
_cell_angle_gamma 60.00
_symmetry_space_group_name_H-M 'P 1'
_symmetry_Int_Tables_number 1
_symmetry_space_group_name_Hall 'P 1'
loop_
_atom_site_label
_atom_site_type_symbol
_atom_site_fract_x
_atom_site_fract_y
_atom_site_fract_z
Tm1 Tm 0.500 0.500 0.500
Cd1 Cd 0.250 0.250 0.250
Na1 Na 0.750 0.750 0.750
Ac1 Ac 0.000 0.000 0.000
# calculated formation energy: 0.21 eV/f.u.
# symmetry: F-43m
# calculated total energy: -0.0974 hartree per atom


(4)
# TlAu8Se6, relaxed, DFT PBE
data_TlAu8Se6
_chemical_formula_sum 'Tl1 Au8 Se6'
_cell_length_a 7.818
_cell_length_b 7.818
_cell_length_c 8.730
_cell_angle_alpha 63.40
_cell_angle_beta 63.40
_cell_angle_gamma 60.00
_symmetry_space_group_name_H-M 'P 1'
_symmetry_Int_Tables_number 1
_symmetry_space_group_name_Hall 'P 1'
loop_
_atom_site_label
_atom_site_type_symbol
_atom_site_fract_x
_atom_site_fract_y
_atom_site_fract_z
Au1 Au 0.916 0.280 0.511
Au2 Au 0.294 0.916 0.511
Se1 Se 0.572 0.276 0.220
Se2 Se 0.067 0.428 0.780
Au3 Au 0.280 0.294 0.511
Se3 Se 0.933 0.572 0.220
Au4 Au 0.720 0.706 0.489
Se4 Se 0.276 0.933 0.220
Au5 Au 0.084 0.720 0.489
Tl1 Tl 0.000 0.000 0.000
Se5 Se 0.724 0.067 0.780
Au6 Au 0.706 0.084 0.489
Au7 Au 0.407 0.407 0.779
Se6 Se 0.428 0.724 0.780
Au8 Au 0.593 0.593 0.221
# formation energy (no corrections): 0.046 eV per atom
# symmetry: R-3
# calculated total energy: -0.1196 hartree per atom


(5)
# NdIrPb, relaxed, DFT PBE
data_NdIrPb
_chemical_formula_sum 'Nd1 Ir1 Pb1'
_cell_length_a 4.829
_cell_length_b 4.829
_cell_length_c 4.829
_cell_angle_alpha 60.00
_cell_angle_beta 60.00
_cell_angle_gamma 60.00
_symmetry_space_group_name_H-M 'P 1'
_symmetry_Int_Tables_number 1
_symmetry_space_group_name_Hall 'P 1'
loop_
_atom_site_label
_atom_site_type_symbol
_atom_site_fract_x
_atom_site_fract_y
_atom_site_fract_z
Nd1 Nd 0.500 0.500 0.500
Pb1 Pb 0.000 0.000 0.000
Ir1 Ir 0.250 0.250 0.250
# calculated formation energy: -1.13 eV/f.u.
# symmetry: F-43m
# calculated total energy: -0.2262 hartree per atom


(6)
# VCrCd3, relaxed, DFT PBE
data_VCrCd3
_chemical_formula_sum 'V1 Cr1 Cd3'
_cell_length_a 5.138
_cell_length_b 5.138
_cell_length_c 5.138
_cell_angle_alpha 90.00
_cell_angle_beta 90.00
_cell_angle_gamma 90.00
_symmetry_space_group_name_H-M 'P 1'
_symmetry_Int_Tables_number 1
_symmetry_space_group_name_Hall 'P 1'
loop_
_atom_site_label
_atom_site_type_symbol
_atom_site_fract_x
_atom_site_fract_y
_atom_site_fract_z
Cr1 Cr 0.000 0.000 0.000
Cd1 Cd 0.500 0.000 0.000
Cd2 Cd 0.000 0.500 0.000
Cd3 Cd 0.000 0.000 0.500
V1 V 0.500 0.500 0.500
# calculated formation energy: 5.74 eV/f.u.
# symmetry: Pm-3m
# calculated total energy: -0.1157 hartree per atom


no.,DOS at the Fermi energy (states/eV/atom)
1,0.427
2,0.781
3,1.562
4,0.814
5,1.536
6,1.345